# 1
Density functional theory data (PBE) for an optimized crystal structure of Pu2CoB2Ir5.

abc: 9.170 9.170 3.448
angles: 90.00 90.00 90.00
Sites, in units of the cell vectors:
1 Pu 0.177 0.323 0.000
2 Pu 0.323 0.823 0.000
3 Pu 0.677 0.177 0.000
4 Pu 0.823 0.677 0.000
5 Co 0.000 0.000 0.000
6 Co 0.500 0.500 0.000
7 B 0.122 0.622 0.000
8 B 0.378 0.122 0.000
9 B 0.622 0.878 0.000
10 B 0.878 0.378 0.000
11 Ir 0.000 0.500 0.500
12 Ir 0.070 0.787 0.500
13 Ir 0.213 0.070 0.500
14 Ir 0.287 0.570 0.500
15 Ir 0.430 0.287 0.500
16 Ir 0.500 0.000 0.500
17 Ir 0.570 0.713 0.500
18 Ir 0.713 0.430 0.500
19 Ir 0.787 0.930 0.500
20 Ir 0.930 0.213 0.500

V: 14.50 Å³/atom
Calculated formation energy: -0.329 eV/atom
Raw total energy: -193.4 eV/cell
Theoretical density: 17.52 Mg/m³


# 2
Density functional theory data (PBE) for an optimized crystal structure of PrBeSi.

abc: 3.975 3.975 4.301
angles: 90.00 90.00 120.00
Sites, in units of the cell vectors:
1 Pr 0.000 0.000 0.000
2 Be 0.333 0.667 0.500
3 Si 0.667 0.333 0.500

V: 19.62 Å³/atom
Raw total energy: -15.6 eV/cell
Theoretical density: 5.02 Mg/m³


# 3
Density functional theory data (PBE) for an optimized crystal structure of TaTcOsRh2.

abc: 4.625 4.625 4.707
angles: 90.00 90.00 90.00
Sites, in units of the cell vectors:
1 Ta 0.000 0.000 0.000
2 Tc 0.000 0.000 0.500
3 Os 0.500 0.500 0.500
4 Rh 0.000 0.500 0.000
5 Rh 0.500 0.000 0.000

V: 20.14 Å³/atom
Calculated formation energy: 1.857 eV/atom
Raw total energy: -38.9 eV/cell
Theoretical density: 11.13 Mg/m³


Among the records above, which one has the lowest theoretical density?
PrBeSi


The lowest V belongs to which entry?
Pu2CoB2Ir5